Entry 1:
A plane-wave DFT calculation with PBE-GGA was carried out for a relaxed HoScGa crystal.

Calculated values
- density of states at the Fermi level (states/eV per atom) = 1.077
- space-group type = P3m1, No. 156
- total magnetization (μB/f.u.) = 0.0
- excess energy over the best structure of this formula in the dataset (meV per atom) = 115.5

Lattice parameters (Å, degrees): 3.5663 4.8086 4.8086 120.00 90.00 90.00
Positions (direct):
1 Sc 0.8346 0.0000 0.0000
2 Ho 0.3338 0.3333 0.6667
3 Ga 0.8316 0.6667 0.3333

Entry 2:
A plane-wave DFT calculation with PBE-GGA was carried out for a relaxed Tb4AlAu crystal.

Calculated values
- E (eV per cell) = -53.95
- density of states at the Fermi level (states/eV per atom) = 1.106
- space-group type = Cmc2_1, No. 36
- total magnetization (μB/f.u.) = 0.0

Lattice parameters (Å, degrees): 5.2478 6.3456 11.0810 90.00 103.70 90.00
Positions (direct):
1 Tb 0.8799 0.2932 0.7598
2 Tb 0.1201 0.7932 0.2402
3 Tb 0.4397 0.8596 0.8795
4 Tb 0.5603 0.3596 0.1205
5 Tb 0.7146 0.5507 0.4292
6 Tb 0.2854 0.0507 0.5708
7 Tb 0.6920 0.0672 0.3840
8 Tb 0.3080 0.5672 0.6160
9 Al 0.8398 0.8139 0.6796
10 Al 0.1602 0.3139 0.3204
11 Au 0.5727 0.8487 0.1455
12 Au 0.4273 0.3487 0.8545

Entry 3:
A plane-wave DFT calculation with PBE-GGA was carried out for a relaxed ScTlSn2 crystal.

Calculated values
- density of states at the Fermi level (states/eV per atom) = 0.579
- space-group type = P4/mmm, No. 123
- total magnetization (μB/f.u.) = 0.0
- excess energy over the best structure of this formula in the dataset (meV per atom) = 1.2

Lattice parameters (Å, degrees): 4.0569 4.0569 6.2548 90.00 90.00 90.00
Positions (direct):
1 Sc 0.5000 0.5000 0.0000
2 Tl 0.5000 0.5000 0.5000
3 Sn 0.0000 0.0000 0.7682
4 Sn 0.0000 0.0000 0.2318

Entry 4:
A plane-wave DFT calculation with PBE-GGA was carried out for a relaxed Tm2TlPb crystal.

Calculated values
- E (eV per cell) = -65.50
- density of states at the Fermi level (states/eV per atom) = 0.699
- space-group type = P2/c, No. 13
- total magnetization (μB/f.u.) = 0.0

Lattice parameters (Å, degrees): 6.2771 6.2754 11.8686 106.18 90.00 90.00
Positions (direct):
1 Tm 0.6242 0.0644 0.8711
2 Tm 0.3758 0.9356 0.1289
3 Tm 0.6242 0.4356 0.6289
4 Tm 0.3758 0.5644 0.3711
5 Tm 0.8703 0.4556 0.1337
6 Tm 0.1297 0.5444 0.8663
7 Tm 0.8703 0.0444 0.3663
8 Tm 0.1297 0.9556 0.6337
9 Tl 0.1231 0.4367 0.5976
10 Tl 0.8769 0.5633 0.4024
11 Tl 0.1231 0.0633 0.9024
12 Tl 0.8769 0.9367 0.0976
13 Pb 0.3667 0.0812 0.4012
14 Pb 0.6333 0.9188 0.5988
15 Pb 0.3667 0.4188 0.0988
16 Pb 0.6333 0.5812 0.9012

Entry 5:
A plane-wave DFT calculation with PBE-GGA was carried out for a relaxed La3ReN4 crystal.

Calculated values
- E_form (uncorrected) (eV/atom) = -0.870
- density of states at the Fermi level (states/eV per atom) = 0.870
- space-group type = Pmn2_1, No. 31
- total magnetization (μB/f.u.) = 0.0

Lattice parameters (Å, degrees): 5.5515 6.9903 7.8179 90.00 90.00 90.00
Positions (direct):
1 La 0.5636 0.8570 0.0000
2 La 0.0694 0.6600 0.2449
3 La 0.5694 0.3400 0.2551
4 La 0.0636 0.1430 0.5000
5 La 0.5694 0.3400 0.7449
6 La 0.0694 0.6600 0.7551
7 Re 0.0096 0.1738 0.0000
8 Re 0.5096 0.8262 0.5000
9 N 0.0487 0.8997 0.0000
10 N 0.6554 0.1835 0.0000
11 N 0.0495 0.3010 0.2164
12 N 0.5495 0.6990 0.2836
13 N 0.1554 0.8165 0.5000
14 N 0.5487 0.1003 0.5000
15 N 0.5495 0.6990 0.7164
16 N 0.0495 0.3010 0.7836

Entry 6:
A plane-wave DFT calculation with PBE-GGA was carried out for a relaxed AlOsPt2 crystal.

Calculated values
- E (eV per cell) = -28.03
- density of states at the Fermi level (states/eV per atom) = 0.683
- space-group type = C2/m, No. 12
- total magnetization (μB/f.u.) = 0.0

Lattice parameters (Å, degrees): 4.7520 4.7520 4.7425 79.01 79.01 34.58
Positions (direct):
1 Os 0.2500 0.2500 0.2500
2 Al 0.7500 0.7500 0.7500
3 Pt 0.0038 0.0038 0.0025
4 Pt 0.4962 0.4962 0.4975

Entry 7:
A plane-wave DFT calculation with PBE-GGA was carried out for a relaxed Tb4As2PS crystal.

Calculated values
- E_form (uncorrected) (eV/atom) = -1.718
- density of states at the Fermi level (states/eV per atom) = 0.163
- space-group type = P2/m, No. 10
- total magnetization (μB/f.u.) = 0.0

Lattice parameters (Å, degrees): 4.0645 7.0273 7.0334 70.59 90.00 90.00
Positions (direct):
1 Tb 0.0000 0.7473 0.7474
2 Tb 0.0000 0.2527 0.2525
3 Tb 0.5000 0.7447 0.2547
4 Tb 0.5000 0.2553 0.7453
5 As 0.0000 0.0000 0.0000
6 As 0.5000 0.0000 0.5000
7 P 0.0000 0.5000 0.5000
8 S 0.5000 0.5000 0.0000

Entry 8:
A plane-wave DFT calculation with PBE-GGA was carried out for a relaxed K2InBr crystal.

Calculated values
- E_form (uncorrected) (eV/atom) = -0.660
- density of states at the Fermi level (states/eV per atom) = 0.669
- space-group type = Pmm2, No. 25
- total magnetization (μB/f.u.) = 0.0
- excess energy over the best structure of this formula in the dataset (meV per atom) = 107.9

Lattice parameters (Å, degrees): 4.1082 4.0881 10.6439 90.00 90.00 90.00
Positions (direct):
1 Br 0.0000 0.0000 0.2986
2 In 0.5000 0.5000 0.7740
3 K 0.0000 0.0000 0.0006
4 K 0.5000 0.5000 0.4268